(A)
Crystalline AgRh3N at its relaxed geometry. Source: Alexandria, functional PBE.

Results
Calculated volume = 120 Å³/f.u.
Magnetic moment = 1.326 μB per atom

Lattice parameters (Å, degrees): 4.931 4.931 4.931 90.00 90.00 90.00
Each line ends with the local moment (μB).
Positions (direct):
Rh: 0.500 0.000 0.000  0.91
Rh: 0.000 0.500 0.000  1.40
Rh: 0.000 0.000 0.500  1.76
Ag: 0.000 0.000 0.000  0.14
N: 0.500 0.500 0.500  1.59

(B)
Crystalline AgRh3N at its relaxed geometry. Source: Alexandria, functional PBE.

Results
Calculated volume = 69 Å³/f.u.
Magnetic moment = 0.000 μB per atom

Lattice parameters (Å, degrees): 4.098 4.098 4.098 90.00 90.00 90.00
Positions (direct):
Rh: 0.000 0.000 0.500
Rh: 0.500 0.000 0.000
Rh: 0.000 0.500 0.000
N: 0.000 0.000 0.000
Ag: 0.500 0.500 0.500

The least stable of them is (A).

(A)
Crystalline AgTeRhN2 at its relaxed geometry. Source: Alexandria, functional PBE.

Results
Calculated volume = 88 Å³/f.u.
Magnetic moment = 0.104 μB per atom

Lattice parameters (Å, degrees): 3.875 3.875 5.889 90.00 90.00 90.00
Each line ends with the local moment (μB).
Positions (direct):
Te: 0.000 0.000 0.500  0.02
N: 0.000 0.500 0.000  0.18
N: 0.500 0.000 0.000  0.18
Ag: 0.500 0.500 0.500  0.00
Rh: 0.000 0.000 0.000  0.01

(B)
Crystalline AgTeRhN2 at its relaxed geometry. Source: Alexandria, functional PBE.

Results
Calculated volume = 101 Å³/f.u.
Magnetic moment = 0.687 μB per atom

Lattice parameters (Å, degrees): 3.962 3.962 6.455 90.00 90.00 90.00
Each line ends with the local moment (μB).
Positions (direct):
N: 0.500 0.000 0.000  1.11
N: 0.000 0.500 0.000  1.11
Rh: 0.500 0.500 0.500  0.00
Ag: 0.000 0.000 0.000  0.23
Te: 0.000 0.000 0.500  0.04

The least stable of them is (B).

(A)
Crystalline Ag3RuN at its relaxed geometry. Source: Alexandria, functional PBE.

Results
Calculated volume = 125 Å³/f.u.
Magnetic moment = 0.000 μB per atom

Lattice parameters (Å, degrees): 5.000 5.000 5.000 90.00 90.00 90.00
Positions (direct):
Ag: 0.000 0.500 0.000
Ag: 0.000 0.000 0.500
Ag: 0.500 0.000 0.000
Ru: 0.000 0.000 0.000
N: 0.500 0.500 0.500

(B)
Crystalline Ag3RuN at its relaxed geometry. Source: Alexandria, functional PBE.

Results
Calculated volume = 80 Å³/f.u.
Magnetic moment = 0.395 μB per atom

Lattice parameters (Å, degrees): 4.301 4.301 4.301 90.00 90.00 90.00
Each line ends with the local moment (μB).
Positions (direct):
Ag: 0.500 0.000 0.000  0.03
Ag: 0.000 0.500 0.000  0.01
Ag: 0.000 0.000 0.500  0.01
N: 0.000 0.000 0.000  0.06
Ru: 0.500 0.500 0.500  1.83

The least stable of them is (A).